(i)
A plane-wave DFT calculation with PBE was carried out for crystalline ErUN at its relaxed geometry.

Summary:
The calculation puts the spin magnetization at 0.60 Bohr magnetons per cell.

abc: 6.063 6.063 5.433
angles: 90.00 90.00 149.37
Fractional positions:
Er (0.223, 0.777, 0.750)
Er (0.777, 0.223, 0.250)
U (0.500, 0.500, 0.000)
U (0.500, 0.500, 0.500)
N (0.118, 0.882, 0.250)
N (0.882, 0.118, 0.750)



(ii)
A plane-wave DFT calculation with PBE was carried out for crystalline ErUN at its relaxed geometry.

Summary:
The calculation puts the spin magnetization at 2.30 Bohr magnetons per cell.

abc: 6.806 6.806 6.806
angles: 153.08 153.08 38.44
Fractional positions:
Er (0.000, 0.000, 0.000)
U (0.283, 0.283, 0.000)
N (0.447, 0.447, 0.000)



Energy comparison, zero being the most stable, in kJ/mol of atoms: (i) 1.3; (ii) 0.0.



(i)
A plane-wave DFT calculation with PBE was carried out for crystalline ErVN at its relaxed geometry.

Summary:
The calculation puts the spin magnetization at 0.00 Bohr magnetons per cell.

abc: 5.453 5.453 5.453
angles: 149.33 149.33 43.93
Fractional positions:
Er (0.000, 0.000, 0.000)
V (0.292, 0.292, 0.000)
N (0.741, 0.741, 0.000)



(ii)
A plane-wave DFT calculation with PBE was carried out for crystalline ErVN at its relaxed geometry.

Summary:
The calculation puts the spin magnetization at 0.00 Bohr magnetons per cell.

abc: 8.539 8.539 8.539
angles: 157.88 157.88 31.49
Fractional positions:
Er (0.153, 0.153, 0.000)
Er (0.847, 0.847, 0.000)
V (0.000, 0.500, 0.500)
V (0.500, 0.000, 0.500)
N (0.410, 0.410, 0.000)
N (0.590, 0.590, 0.000)



Energy comparison, zero being the most stable, in kJ/mol of atoms: (i) 39.9; (ii) 0.0.



(i)
A plane-wave DFT calculation with PBE was carried out for crystalline Er3ZrN4 at its relaxed geometry.

Summary:
The calculation puts the spin magnetization at 0.00 Bohr magnetons per cell.

abc: 5.845 5.845 3.371
angles: 90.00 90.00 109.30
Fractional positions:
Er (0.000, 0.000, 0.000)
Er (0.000, 0.500, 0.500)
Er (0.500, 0.000, 0.500)
Zr (0.500, 0.500, 0.000)
N (0.256, 0.744, 0.000)
N (0.260, 0.260, 0.500)
N (0.740, 0.740, 0.500)
N (0.744, 0.256, 0.000)



(ii)
A plane-wave DFT calculation with PBE was carried out for crystalline Er3ZrN4 at its relaxed geometry.

Summary:
The calculation puts the spin magnetization at 0.00 Bohr magnetons per cell.

abc: 4.776 4.776 4.776
angles: 90.00 90.00 90.00
Fractional positions:
Er (0.000, 0.000, 0.500)
Er (0.000, 0.500, 0.000)
Er (0.500, 0.000, 0.000)
Zr (0.500, 0.500, 0.500)
N (0.000, 0.000, 0.000)
N (0.000, 0.500, 0.500)
N (0.500, 0.000, 0.500)
N (0.500, 0.500, 0.000)



Energy comparison, zero being the most stable, in kJ/mol of atoms: (i) 0.0; (ii) 3.0.



(i)
A plane-wave DFT calculation with PBE was carried out for crystalline NaNdEr at its relaxed geometry.

Summary:
The calculation puts the spin magnetization at 0.00 Bohr magnetons per cell.

abc: 8.531 8.531 8.531
angles: 156.07 156.07 34.09
Fractional positions:
Na (0.000, 0.000, 0.000)
Nd (0.678, 0.678, 0.000)
Er (0.328, 0.328, 0.000)



(ii)
A plane-wave DFT calculation with PBE was carried out for crystalline NaNdEr at its relaxed geometry.

Summary:
The calculation puts the spin magnetization at 0.00 Bohr magnetons per cell.

abc: 5.651 5.651 7.186
angles: 90.00 90.00 60.00
Fractional positions:
Na (0.167, 0.167, 0.000)
Na (0.833, 0.833, 0.000)
Nd (0.499, 0.500, 0.733)
Nd (0.500, 0.501, 0.267)
Er (0.166, 0.168, 0.500)
Er (0.832, 0.834, 0.500)



(iii)
A plane-wave DFT calculation with PBE was carried out for crystalline NaNdEr at its relaxed geometry.

Summary:
The calculation puts the spin magnetization at 0.00 Bohr magnetons per cell.

abc: 3.572 3.572 9.226
angles: 90.00 90.00 120.00
Fractional positions:
Na (0.000, 0.000, 0.000)
Nd (0.333, 0.667, 0.645)
Er (0.667, 0.333, 0.344)



(iv)
A plane-wave DFT calculation with PBE was carried out for crystalline NaNdEr at its relaxed geometry.

Summary:
The calculation puts the spin magnetization at 0.00 Bohr magnetons per cell.

abc: 4.150 4.150 11.972
angles: 90.00 90.00 90.00
Fractional positions:
Na (0.250, 0.750, 0.000)
Na (0.750, 0.250, 0.000)
Nd (0.250, 0.250, 0.262)
Nd (0.750, 0.750, 0.738)
Er (0.250, 0.250, 0.570)
Er (0.750, 0.750, 0.430)



Energy comparison, zero being the most stable, in kJ/mol of atoms: (i) 2.1; (ii) 3.9; (iii) 0.0; (iv) 11.9.